Compound: Zr2TiMo2
Source: Alexandria
Functional: GGA-PBE
Structure: optimized geometry

## Properties
ΔE_f in eV/atom: 0.213
Crystal system: tetragonal
Total energy in eV per cell: -91.2
D(E_F) in states/eV/atom: 1.09
Size of the total moment in μB/cell: 0.000

extended XYZ file:
```
10
Lattice="6.6541 0.0000 0.0000 0.0000 6.6541 0.0000 0.0000 0.0000 4.4197" Properties=species:S:1:pos:R:3 pbc="T T T"
Mo 5.7182 4.2630 0.0000
Mo 4.2630 0.9359 0.0000
Ti 3.3271 3.3271 0.0000
Zr 1.1513 4.4784 2.2099
Zr 2.1757 1.1513 2.2099
Mo 2.3911 5.7182 0.0000
Zr 4.4784 5.5028 2.2099
Zr 5.5028 2.1757 2.2099
Mo 0.9359 2.3911 0.0000
Ti 0.0000 0.0000 0.0000
```

Compound: KHg2TeBr
Source: Alexandria
Functional: GGA-PBE
Structure: optimized geometry

## Properties
Polymorph energy (0 for the lowest one) in eV per atom: 0.133
Crystal system: tetragonal
Total energy in eV per cell: -8.6
D(E_F) in states/eV/atom: 0.25
Size of the total moment in μB/cell: 0.000

extended XYZ file:
```
5
Lattice="-2.7398 1.5164 -4.6876 -0.7399 -9.6267 -2.6816 -4.9091 -0.3870 2.7441" Properties=species:S:1:pos:R:3 pbc="T T T"
K -4.1944 -4.2487 -2.3126
Hg -2.4546 -0.1935 1.3720
Te 0.0000 0.0000 0.0000
Hg -1.3699 0.7582 -2.3438
Br -0.3700 -4.8133 -1.3408
```

Compound: SrNi2Hg
Source: Alexandria
Functional: GGA-PBE
Structure: optimized geometry

## Properties
ΔE_f in eV/atom: 0.124
Crystal system: tetragonal
Total energy in eV per cell: -13.1
D(E_F) in states/eV/atom: 1.20
Size of the total moment in μB/cell: 0.000

extended XYZ file:
```
4
Lattice="3.3128 0.0000 0.0000 0.0000 3.3101 0.0000 0.0000 0.0000 7.2118" Properties=species:S:1:pos:R:3 pbc="T T T"
Sr 0.0000 0.0000 3.3525
Ni 0.0000 0.0000 0.4684
Hg 1.6564 1.6551 5.7984
Ni 1.6564 1.6551 1.1983
```

Compound: Zn2FeAs2
Source: Alexandria
Functional: GGA-PBE
Structure: optimized geometry

## Properties
ΔE_f in eV/atom: 0.365
Crystal system: tetragonal
Total energy in eV per cell: -37.0
D(E_F) in states/eV/atom: 0.77
Size of the total moment in μB/cell: 5.547

extended XYZ file:
```
10
Lattice="-2.6122 -2.3380 -5.9080 -2.5355 -5.4736 3.2871 -2.9887 1.7598 0.6250" Properties=species:S:1:pos:R:3 pbc="T T T"
Zn -3.8700 -5.4833 -3.0666
As -4.4525 -2.7960 -3.4826
As -5.3497 -5.2012 -1.0010
As -3.6840 -3.2558 1.4867
Fe 0.0000 0.0000 0.0000
Zn -1.9767 -2.1866 -3.2954
Zn -3.1711 -5.6250 0.6745
Zn -1.2778 -2.3283 0.4458
As -2.7867 -0.8506 -0.9949
Fe -2.5739 -3.9058 -1.3104
```

Compound: PmEuCoNi
Source: Alexandria
Functional: GGA-PBE
Structure: optimized geometry

## Properties
ΔE_f in eV/atom: 0.025
Crystal system: cubic
Total energy in eV per cell: -27.8
D(E_F) in states/eV/atom: 2.50
Size of the total moment in μB/cell: 6.375

extended XYZ file:
```
4
Lattice="4.8890 0.0000 0.0000 2.4445 4.2340 0.0000 2.4445 1.4113 3.9919" Properties=species:S:1:pos:R:3 pbc="T T T"
Co 4.8890 2.8227 1.9959
Ni 0.0000 0.0000 0.0000
Pm 2.4445 1.4113 0.9980
Eu 7.3336 4.2340 2.9939
```

Compound: ZrNbTc2
Source: Alexandria
Functional: GGA-PBE
Structure: optimized geometry

## Properties
ΔE_f in eV/atom: -0.368
Polymorph energy (0 for the lowest one) in eV per atom: 0.003
Crystal system: cubic
Total energy in eV per cell: -40.8
D(E_F) in states/eV/atom: 0.93
Size of the total moment in μB/cell: 0.000

extended XYZ file:
```
4
Lattice="0.0000 3.2380 3.2380 3.2380 0.0000 3.2380 3.2380 3.2380 0.0000" Properties=species:S:1:pos:R:3 pbc="T T T"
Zr 0.0000 0.0000 0.0000
Tc 1.6190 1.6190 1.6190
Nb 3.2380 3.2380 3.2380
Tc 4.8569 4.8569 4.8569
```